# 1
Crystalline Zn2AgBi at its relaxed geometry. Source: the Alexandria database, functional PBE.

Unit cell a=3.2517 b=3.2517 c=7.7943 alpha=90.00 beta=90.00 gamma=90.00
Closest atoms and distances in Å follow each position.
Space group P4/mmm (No. 123)
Inequivalent atoms, fractional coordinates:
Zn  0.0000  0.0000  0.1973 (multiplicity 2)  4 Ag 2.77, 1 Zn 3.08
Ag  0.5000  0.5000  0.0000 (multiplicity 1)  8 Zn 2.77
Bi  0.5000  0.5000  0.5000 (multiplicity 1)  4 Bi 3.25, 8 Zn 3.29

Output
Energy relative to the elements   0.14 eV/atom
N(E_F)   0.3699 states/eV/atom

# 2
Crystalline ZrInRe at its relaxed geometry. Source: the Alexandria database, functional PBE.

Unit cell a=3.2281 b=3.2281 c=6.8092 alpha=90.00 beta=90.00 gamma=120.00
Closest atoms and distances in Å follow each position.
Space group P3m1 (No. 156)
Inequivalent atoms, fractional coordinates:
Zr  0.0000  0.0000  0.0000 (multiplicity 1)  3 Re 2.69
In  0.6667  0.3333  0.3847 (multiplicity 1)  3 Re 2.92, 3 Zr 3.21, 6 In 3.23
Re  0.3333  0.6667  0.7153 (multiplicity 1)  3 Zr 2.69, 3 In 2.92

Output
Energy relative to the elements   0.25 eV/atom
Distance to the lowest polymorph of the same formula   0.397 eV per atom
N(E_F)   0.6877 states/eV/atom

# 3
Crystalline Nd2SmGa4 at its relaxed geometry. Source: the Alexandria database, functional PBE.

Unit cell a=4.2131 b=4.3709 c=18.7985 alpha=90.00 beta=90.00 gamma=90.00
Closest atoms and distances in Å follow each position.
Space group Immm (No. 71)
Inequivalent atoms, fractional coordinates:
Nd  0.0000  0.0000  0.1840 (multiplicity 4)  7 Ga 3.12-3.28
Sm  0.0000  0.5000  0.5000 (multiplicity 2)  12 Ga 3.27-3.44
Ga  0.0000  0.0000  0.3587 (multiplicity 4)  2 Ga 2.55
Ga  0.0000  0.5000  0.0653 (multiplicity 4)  3 Ga 2.45-2.55

Output
Energy relative to the elements   -0.63 eV/atom
N(E_F)   0.7725 states/eV/atom

# 4
Crystalline CeSm3 at its relaxed geometry. Source: the Alexandria database, functional PBE.

Unit cell a=7.2823 b=7.2823 c=5.8174 alpha=90.00 beta=90.00 gamma=120.00
Closest atoms and distances in Å follow each position.
Space group P6_3/mmc (No. 194)
Inequivalent atoms, fractional coordinates:
Ce  0.3333  0.6667  0.2500 (multiplicity 2)  12 Sm 3.58-3.64
Sm  0.1676  0.3351  0.7500 (multiplicity 6)  4 Ce 3.58-3.64, 8 Sm 3.60-3.66

Output
Energy relative to the elements   0.09 eV/atom
Distance to the lowest polymorph of the same formula   0.016 eV per atom
N(E_F)   2.1647 states/eV/atom

Computed theoretical density (g/cm3) in order:
9.020, 10.600, 6.886, 7.349